Here is a geometry-optimized Nd2Y3Ho7 structure from the Alexandria database. Energies are from GGA-PBE.

Values from the calculation:
N(E_F): 17.8 states/eV/cell
Crystal system: monoclinic
Distance to the lowest polymorph of the same formula: 0.000 eV/atom

The structure in CIF format:
```
data_Nd2Y3Ho7
_chemical_formula_sum 'Nd2 Y3 Ho7'
_space_group_name_H-M_alt 'P 1 2/m 1'
_space_group_IT_number 10
_cell_length_a 6.3398
_cell_length_b 3.5230
_cell_length_c 17.4521
_cell_angle_alpha 90.00
_cell_angle_beta 96.11
_cell_angle_gamma 90.00
loop_
_space_group_symop_operation_xyz
'x,y,z'
'-x,-y,-z'
'-x,y,-z'
'x,-y,z'
loop_
_atom_site_label
_atom_site_type_symbol
_atom_site_fract_x
_atom_site_fract_y
_atom_site_fract_z
Nd1 Nd 0.0594 0.0000 0.1733
Y1 Y 0.4513 0.5000 0.8422
Y2 Y 0.5000 0.0000 0.5000
Ho1 Ho 0.0000 0.5000 0.5000
Ho2 Ho 0.2258 0.0000 0.6659
Ho3 Ho 0.2560 0.0000 0.9989
Ho4 Ho 0.2744 0.5000 0.3365
```